# LiNiOs2 | Alexandria | PBE | relaxed
data_LiNiOs2
_chemical_formula_sum 'Li1 Ni1 Os2'
_symmetry_space_group_name_H-M 'P m m 2'
_symmetry_Int_Tables_number 25
_cell_length_a 2.686
_cell_length_b 3.798
_cell_length_c 5.151
_cell_angle_alpha 90.00
_cell_angle_beta 90.00
_cell_angle_gamma 90.00
loop_
_symmetry_equiv_pos_as_xyz
'x,y,z'
'-x,-y,z'
'-x,y,z'
'x,-y,z'
loop_
_atom_site_label
_atom_site_type_symbol
_atom_site_fract_x
_atom_site_fract_y
_atom_site_fract_z
_atom_site_occupancy
Li1 Li 0.000 0.000 0.000 1
Ni1 Ni 0.500 0.500 0.208 1
Os1 Os 0.000 0.000 0.496 1
Os2 Os 0.500 0.500 0.715 1
# Calculated volume: 52.54 Å³ per cell
# Electronic total energy: -29.5 eV per cell
# N(E_F): 3.7 states/eV per cell
# Excess energy over the best structure of this formula in the dataset: 58 meV per atom
# Formation energy: 0.172 eV per atom

# LiNiOs2 | Alexandria | PBE | relaxed
data_LiNiOs2
_chemical_formula_sum 'Li2 Ni2 Os4'
_symmetry_space_group_name_H-M 'C m m m'
_symmetry_Int_Tables_number 65
_symmetry_space_group_name_Hall '-C 2 2'
_cell_length_a 2.743
_cell_length_b 4.436
_cell_length_c 8.900
_cell_angle_alpha 90.00
_cell_angle_beta 90.00
_cell_angle_gamma 90.00
loop_
_atom_site_label
_atom_site_type_symbol
_atom_site_fract_x
_atom_site_fract_y
_atom_site_fract_z
_atom_site_occupancy
Li1 Li 0.000 0.000 0.000 1
Ni1 Ni 0.000 0.000 0.500 1
Os1 Os 0.000 0.500 0.260 1
# Calculated volume: 108.30 Å³ per cell
# Electronic total energy: -57.8 eV per cell
# N(E_F): 8.0 states/eV per cell
# Excess energy over the best structure of this formula in the dataset: 203 meV per atom
# Formation energy: 0.317 eV per atom

# LiNiOs2 | Alexandria | PBE | relaxed
data_LiNiOs2
_chemical_formula_sum 'Li3 Ni3 Os6'
_symmetry_space_group_name_H-M 'R 3 m'
_symmetry_Int_Tables_number 160
_symmetry_space_group_name_Hall 'R 3 -2"'
_cell_length_a 2.6953
_cell_length_b 2.6953
_cell_length_c 26.2109
_cell_angle_alpha 90.00
_cell_angle_beta 90.00
_cell_angle_gamma 120.00
loop_
_atom_site_label
_atom_site_type_symbol
_atom_site_fract_x
_atom_site_fract_y
_atom_site_fract_z
_atom_site_occupancy
Li1 Li 0.0000 0.0000 0.0000 1
Ni1 Ni 0.0000 0.0000 0.2525 1
Os1 Os 0.0000 0.0000 0.5057 1
Os2 Os 0.0000 0.0000 0.7572 1
# Calculated volume: 164.91 Å³ per cell
# Electronic total energy: -88.0 eV per cell
# N(E_F): 15.8 states/eV per cell
# Excess energy over the best structure of this formula in the dataset: 92 meV per atom
# Formation energy: 0.205 eV per atom

# LiNi2Os | Alexandria | PBE | relaxed
data_LiNi2Os
_chemical_formula_sum 'Li1 Ni2 Os1'
_symmetry_space_group_name_H-M 'P m m m'
_symmetry_Int_Tables_number 47
_cell_length_a 2.543
_cell_length_b 3.739
_cell_length_c 5.072
_cell_angle_alpha 90.00
_cell_angle_beta 90.00
_cell_angle_gamma 90.00
loop_
_symmetry_equiv_pos_as_xyz
'x,y,z'
'-x,-y,-z'
'-x,-y,z'
'x,y,-z'
'x,-y,-z'
'-x,y,z'
'-x,y,-z'
'x,-y,z'
loop_
_atom_site_label
_atom_site_type_symbol
_atom_site_fract_x
_atom_site_fract_y
_atom_site_fract_z
_atom_site_occupancy
Li1 Li 0.000 0.000 0.000 1
Ni1 Ni 0.500 0.500 0.258 1
Os1 Os 0.000 0.000 0.500 1
# Calculated volume: 48.23 Å³ per cell
# Electronic total energy: -24.3 eV per cell
# N(E_F): 3.4 states/eV per cell
# Excess energy over the best structure of this formula in the dataset: 81 meV per atom
# Formation energy: 0.095 eV per atom